[1]
# TlIr2Se

A relaxed structure of TlIr2Se (GGA-PBE, the Alexandria database).

Calculated values
D(E_F): 0.7937 states/eV/atom
total magnetization: 0.000 μB per atom
energy above the most stable polymorph in this dataset: 105 meV/atom

Cell: 2.9951 3.9142 6.3602 Å, 90.00 90.00 90.00°
Space group Pmm2 (No. 25)
Symmetry-distinct sites (fractional):
1 Tl 0.0000 0.0000 0.0000 x1
2 Ir 0.0000 0.0000 0.4845 x1
3 Ir 0.5000 0.5000 0.2374 x1
4 Se 0.5000 0.5000 0.6174 x1



[2]
# Tl2IrSe2

A relaxed structure of Tl2IrSe2 (GGA-PBE, the Alexandria database).

Calculated values
electronic total energy: -32.3 eV for the cell shown
D(E_F): 0.6970 states/eV/atom
total magnetization: 0.000 μB per atom

Cell: 4.0105 4.0105 15.6494 Å, 90.00 90.00 90.00°
Space group I4/mmm (No. 139)
Symmetry-distinct sites (fractional):
1 Tl 0.0000 0.5000 0.2500 x4
2 Ir 0.0000 0.0000 0.0000 x2
3 Se 0.0000 0.0000 0.4241 x4



[3]
# TlIr4Se8

A relaxed structure of TlIr4Se8 (GGA-PBE, the Alexandria database).

Calculated values
electronic total energy: -207.0 eV for the cell shown
D(E_F): 1.0821 states/eV/atom
total magnetization: 0.000 μB per atom

Cell: 7.4992 7.4992 21.8118 Å, 90.00 90.00 120.00°
Space group R-3m (No. 166, hexagonal axes)
Symmetry-distinct sites (fractional):
1 Tl 0.0000 0.0000 0.0000 x3
2 Ir 0.0000 0.0000 0.5000 x3
3 Ir 0.0000 0.5000 0.5000 x9
4 Se 0.0000 0.0000 0.2255 x6
5 Se 0.0013 0.5007 0.7749 x18



[4]
# TlIr2Se

A relaxed structure of TlIr2Se (GGA-PBE, the Alexandria database).

Calculated values
D(E_F): 0.7492 states/eV/atom
total magnetization: 0.000 μB per atom
energy above the most stable polymorph in this dataset: 261 meV/atom

Cell: 3.1111 4.0176 5.8417 Å, 90.00 90.00 90.00°
Space group Pmmm (No. 47)
Symmetry-distinct sites (fractional):
1 Tl 0.0000 0.0000 0.0000 x1
2 Ir 0.5000 0.5000 0.2459 x2
3 Se 0.5000 0.0000 0.5000 x1



[5]
# Tl4IrSe

A relaxed structure of Tl4IrSe (GGA-PBE, the Alexandria database).

Calculated values
electronic total energy: -67.9 eV for the cell shown
D(E_F): 0.8049 states/eV/atom
total magnetization: 0.207 μB per atom

Cell: 8.7338 8.7338 8.7338 Å, 90.00 90.00 90.00°
Space group F-43m (No. 216)
Symmetry-distinct sites (fractional):
1 Tl 0.1249 0.1249 0.1249 x16
2 Ir 0.2500 0.2500 0.7500 x4
3 Se 0.0000 0.0000 0.5000 x4



[6]
# TlIrSe4

A relaxed structure of TlIrSe4 (GGA-PBE, the Alexandria database).

Calculated values
D(E_F): 1.1634 states/eV/atom
total magnetization: 0.002 μB per atom
energy above the most stable polymorph in this dataset: 1108 meV/atom

Cell: 8.0632 8.0632 8.0632 Å, 90.00 90.00 90.00°
Space group F-43m (No. 216)
Symmetry-distinct sites (fractional):
1 Tl 0.0000 0.0000 0.0000 x4
2 Ir 0.2500 0.2500 0.7500 x4
3 Se 0.1220 0.1220 0.3780 x16



[7]
# TlIr2Se

A relaxed structure of TlIr2Se (GGA-PBE, the Alexandria database).

Calculated values
D(E_F): 0.6131 states/eV/atom
total magnetization: 0.000 μB per atom
energy above the most stable polymorph in this dataset: 318 meV/atom

Cell: 4.6134 3.0812 5.2774 Å, 90.00 110.36 90.00°
Space group P2/m (No. 10)
Symmetry-distinct sites (fractional):
1 Tl 0.0000 0.0000 0.0000 x1
2 Ir 0.5000 0.0000 0.5000 x1
3 Ir 0.5000 0.5000 0.0000 x1
4 Se 0.0000 0.5000 0.5000 x1



[8]
# TlIr2Se

A relaxed structure of TlIr2Se (GGA-PBE, the Alexandria database).

Calculated values
D(E_F): 0.6507 states/eV/atom
total magnetization: 0.000 μB per atom
energy above the most stable polymorph in this dataset: 232 meV/atom

Cell: 3.0904 3.0904 25.3721 Å, 90.00 90.00 120.00°
Space group R-3m (No. 166, hexagonal axes)
Symmetry-distinct sites (fractional):
1 Tl 0.0000 0.0000 0.0000 x3
2 Ir 0.0000 0.0000 0.2433 x6
3 Se 0.0000 0.0000 0.5000 x3



[9]
# TlIr2Se

A relaxed structure of TlIr2Se (GGA-PBE, the Alexandria database).

Calculated values
D(E_F): 0.6458 states/eV/atom
total magnetization: 0.000 μB per atom
energy above the most stable polymorph in this dataset: 184 meV/atom

Cell: 8.4470 2.9644 7.7979 Å, 90.00 118.95 90.00°
Space group C2/m (No. 12)
Symmetry-distinct sites (fractional):
1 Tl 0.0000 0.0000 0.0000 x2
2 Ir 0.2032 0.5000 0.3386 x4
3 Se 0.0000 0.5000 0.5000 x2



[10]
# TlIr2Se

A relaxed structure of TlIr2Se (GGA-PBE, the Alexandria database).

Calculated values
D(E_F): 0.4881 states/eV/atom
total magnetization: 0.000 μB per atom
energy above the most stable polymorph in this dataset: 367 meV/atom

Cell: 6.1602 7.3121 3.0888 Å, 90.00 90.00 90.00°
Space group Cmmm (No. 65)
Symmetry-distinct sites (fractional):
1 Tl 0.0000 0.0000 0.0000 x2
2 Ir 0.2500 0.2500 0.5000 x4
3 Se 0.0000 0.5000 0.0000 x2



[11]
# TlIr2Se2

A relaxed structure of TlIr2Se2 (GGA-PBE, the Alexandria database).

Calculated values
D(E_F): 0.2907 states/eV/atom
total magnetization: 0.000 μB per atom
energy above the most stable polymorph in this dataset: 0 meV/atom

Cell: 4.6559 4.6559 9.3990 Å, 90.00 90.00 90.00°
Space group I4/mmm (No. 139)
Symmetry-distinct sites (fractional):
1 Tl 0.0000 0.0000 0.0000 x2
2 Ir 0.0000 0.0000 0.3607 x4
3 Se 0.0000 0.5000 0.2500 x4



[12]
# TlIr2Se2

A relaxed structure of TlIr2Se2 (GGA-PBE, the Alexandria database).

Calculated values
D(E_F): 0.8241 states/eV/atom
total magnetization: 0.000 μB per atom
energy above the most stable polymorph in this dataset: 237 meV/atom

Cell: 7.8519 7.8519 3.0728 Å, 90.00 90.00 90.00°
Space group P4/mbm (No. 127)
Symmetry-distinct sites (fractional):
1 Tl 0.0000 0.0000 0.0000 x2
2 Ir 0.1258 0.3742 0.0000 x4
3 Se 0.1471 0.6471 0.5000 x4